Record 1
First-principles (PBE) data for crystalline Sb4N at its relaxed geometry, as listed in the Alexandria database.

* formation energy (no corrections): 2.822 eV per formula unit

Cell and atoms, written as CIF:
```
data_Sb4N
_chemical_formula_sum 'Sb4 N1'
_space_group_name_H-M_alt 'P m -3 m'
_space_group_IT_number 221
_space_group_name_Hall '-P 4 2 3'
_cell_length_a 4.840
_cell_length_b 4.840
_cell_length_c 4.840
_cell_angle_alpha 90.00
_cell_angle_beta 90.00
_cell_angle_gamma 90.00
loop_
_atom_site_label
_atom_site_fract_x
_atom_site_fract_y
_atom_site_fract_z
_atom_site_occupancy
Sb1 0.000 0.000 0.000 1
Sb2 0.000 0.500 0.500 1
N1 0.500 0.500 0.500 1
```

***

Record 2
First-principles (PBE) data for crystalline SrRe2TcNi at its relaxed geometry, as listed in the Alexandria database.

* DFT formation energy: 1.8464 eV/atom

Cell and atoms, written as CIF:
```
data_SrRe2TcNi
_chemical_formula_sum 'Sr1 Re2 Tc1 Ni1'
_space_group_name_H-M_alt 'P 4/m m m'
_space_group_IT_number 123
_space_group_name_Hall '-P 4 2'
_cell_length_a 4.522
_cell_length_b 4.522
_cell_length_c 5.030
_cell_angle_alpha 90.00
_cell_angle_beta 90.00
_cell_angle_gamma 90.00
loop_
_atom_site_label
_atom_site_fract_x
_atom_site_fract_y
_atom_site_fract_z
_atom_site_occupancy
Sr1 0.000 0.000 0.000 1
Re1 0.000 0.500 0.500 1
Tc1 0.500 0.500 0.000 1
Ni1 0.000 0.000 0.500 1
```

***

Record 3
First-principles (PBE) data for crystalline Pr2ScAl9 at its relaxed geometry, as listed in the Alexandria database.

* DFT formation energy: -0.2790 eV/atom

Cell and atoms, written as CIF:
```
data_Pr2ScAl9
_chemical_formula_sum 'Pr6 Sc3 Al27'
_space_group_name_H-M_alt 'R -3 m'
_space_group_IT_number 166
_space_group_name_Hall '-R 3 2"'
_cell_length_a 5.6212
_cell_length_b 5.6212
_cell_length_c 26.5463
_cell_angle_alpha 90.00
_cell_angle_beta 90.00
_cell_angle_gamma 120.00
loop_
_atom_site_label
_atom_site_fract_x
_atom_site_fract_y
_atom_site_fract_z
_atom_site_occupancy
Pr1 0.0000 0.0000 0.1417 1
Sc1 0.0000 0.0000 0.0000 1
Al1 0.0000 0.0000 0.3349 1
Al2 0.0000 0.0000 0.5000 1
Al3 0.0064 0.5032 0.9184 1
```

***

Record 4
First-principles (PBE) data for crystalline Y2SbSe2 at its relaxed geometry, as listed in the Alexandria database.

* formation energy (no corrections): -6.304 eV per formula unit
* energy above the most stable polymorph in this dataset: 93.7 meV/atom

Cell and atoms, written as CIF:
```
data_Y2SbSe2
_chemical_formula_sum 'Y8 Sb4 Se8'
_space_group_name_H-M_alt 'C 1 2/c 1'
_space_group_IT_number 15
_space_group_name_Hall '-C 2yc'
_cell_length_a 9.856
_cell_length_b 10.674
_cell_length_c 6.669
_cell_angle_alpha 90.00
_cell_angle_beta 120.79
_cell_angle_gamma 90.00
loop_
_atom_site_label
_atom_site_fract_x
_atom_site_fract_y
_atom_site_fract_z
_atom_site_occupancy
Y1 0.000 0.098 0.250 1
Y2 0.000 0.323 0.750 1
Sb1 0.000 0.381 0.250 1
Se1 0.180 0.101 0.030 1
```

***

DOS(E_F) values (in states/eV/cell) by entry order: 3.66; 7.88; 19.55; 8.98.
Magnetization values (in μB per cell) by entry order: 0.00; 2.96; 0.00; 0.00.
Final energy values (in eV for the cell shown) by entry order: -21.993; -33.494; -158.764; -121.293.